Material: Sm2CdB2Rh5
Method: DFT, PBE
State: relaxed

Summary:
Energy of formation from the pure elements: -0.648 eV/atom
Symmetry: P4/mbm (127)

```
Sm2CdB2Rh5
1.0
-0.8559 -3.0599 0.6194
4.5704 0.4700 8.6375
-8.2545 3.1581 4.1959
Rh Cd Sm B
10 2 4 4
Direct
0.5000 0.4301 0.2704
0.5000 0.0699 0.7704
0.5000 0.5699 0.7296
0.5000 0.2296 0.0699
0.5000 0.7296 0.4301
0.5000 0.7704 0.9301
0.5000 0.0000 0.5000
0.5000 0.5000 0.0000
0.5000 0.2704 0.5699
0.5000 0.9301 0.2296
0.0000 0.5000 0.5000
0.0000 0.0000 0.0000
0.0000 0.8233 0.6767
0.0000 0.1767 0.3233
0.0000 0.6767 0.1767
0.0000 0.3233 0.8233
0.0000 0.6212 0.8788
0.0000 0.3788 0.1212
0.0000 0.8788 0.3788
0.0000 0.1212 0.6212
```

Material: CdSn2B2Rh5
Method: DFT, PBE
State: relaxed

Summary:
Energy of formation from the pure elements: -0.251 eV/atom
Symmetry: P4/mbm (127)

```
CdSn2B2Rh5
1.0
3.1018 0.0000 0.0000
0.0000 9.7047 0.0000
0.0000 0.0000 9.7047
Sn Cd Rh B
4 2 10 4
Direct
0.0000 0.3219 0.8219
0.0000 0.8219 0.6781
0.0000 0.6781 0.1781
0.0000 0.1781 0.3219
0.0000 0.0000 0.0000
0.0000 0.5000 0.5000
0.5000 0.0714 0.7725
0.5000 0.4286 0.2725
0.5000 0.2725 0.5714
0.5000 0.5714 0.7275
0.5000 0.7725 0.9286
0.5000 0.2275 0.0714
0.5000 0.7275 0.4286
0.5000 0.0000 0.5000
0.5000 0.9286 0.2275
0.5000 0.5000 0.0000
0.0000 0.6228 0.8772
0.0000 0.3772 0.1228
0.0000 0.1228 0.6228
0.0000 0.8772 0.3772
```

Material: SrCd2BRh2
Method: DFT, PBE
State: relaxed

Summary:
Energy of formation from the pure elements: -0.338 eV/atom
Symmetry: P4/mmm (123)

```
SrCd2BRh2
1.0
-1.4467 1.0718 3.8543
0.9176 -3.9004 1.4291
5.8292 1.9721 1.6395
Rh B Cd Sr
2 1 2 1
Direct
0.5000 0.0000 0.0000
0.0000 0.5000 0.0000
0.0000 0.0000 0.0000
0.5000 0.5000 0.7253
0.5000 0.5000 0.2747
0.0000 0.0000 0.5000
```

Material: SrCdB2Rh
Method: DFT, PBE
State: relaxed

Summary:
Energy of formation from the pure elements: 1.256 eV/atom
Symmetry: P4/mmm (123)

```
SrCdB2Rh
1.0
-0.6410 1.7627 3.9316
-5.0924 0.4166 -1.0170
-0.6585 -3.9683 1.6718
Sr B Cd Rh
1 2 1 1
Direct
0.5000 0.5000 0.5000
0.5000 0.0000 0.0000
0.0000 0.0000 0.5000
0.0000 0.0000 0.0000
0.0000 0.5000 0.0000
```

Material: TaCd2BRh
Method: DFT, PBE
State: relaxed

Summary:
Energy of formation from the pure elements: 0.489 eV/atom
Symmetry: P4/mmm (123)

```
TaCd2BRh
1.0
-0.9845 3.8612 -1.7286
-1.6054 -2.0319 -3.6245
-3.9302 -0.1780 1.8406
Rh B Cd Ta
1 1 2 1
Direct
0.5000 0.5000 0.5000
0.0000 0.0000 0.0000
0.5000 0.0000 0.0000
0.0000 0.0000 0.5000
0.0000 0.5000 0.0000
```

Material: CdTc2BRh
Method: DFT, PBE
State: relaxed

Summary:
Energy of formation from the pure elements: 0.182 eV/atom
Symmetry: P4/mmm (123)

```
CdTc2BRh
1.0
4.1470 0.0000 0.0000
0.0000 4.2092 0.0000
0.0000 0.0000 4.1470
Tc Cd Rh B
2 1 1 1
Direct
0.0000 0.0000 0.5000
0.5000 0.0000 0.0000
0.5000 0.5000 0.5000
0.0000 0.5000 0.0000
0.0000 0.0000 0.0000
```

Material: Th4CdB3Rh12
Method: DFT, PBE
State: relaxed

Summary:
Energy of formation from the pure elements: -0.670 eV/atom
Symmetry: Im-3m (229)

```
Th4CdB3Rh12
1.0
-4.5985 -4.9839 3.4865
6.8424 -3.1847 -1.0865
0.7541 6.2264 4.3364
Cd Th Rh B
1 4 12 3
Direct
0.0000 0.0000 0.0000
0.0000 0.5000 0.0000
0.5000 0.5000 0.5000
0.0000 0.0000 0.5000
0.5000 0.0000 0.0000
0.5000 0.2500 0.7500
0.0000 0.7188 0.7188
0.7188 0.0000 0.7188
0.5000 0.7500 0.2500
0.7500 0.5000 0.2500
0.2500 0.5000 0.7500
0.2500 0.7500 0.5000
0.2812 0.0000 0.2812
0.7188 0.7188 0.0000
0.7500 0.2500 0.5000
0.0000 0.2812 0.2812
0.2812 0.2812 0.0000
0.5000 0.5000 0.0000
0.5000 0.0000 0.5000
0.0000 0.5000 0.5000
```

Material: TlCd2B2Rh5
Method: DFT, PBE
State: relaxed

Summary:
Energy of formation from the pure elements: -0.248 eV/atom
Symmetry: P4/mbm (127)

```
TlCd2B2Rh5
1.0
-2.7164 -0.7050 -0.9500
-2.0084 -4.1210 8.8012
-3.4156 8.7132 3.3003
Rh B Cd Tl
10 4 4 2
Direct
0.5000 0.4309 0.2695
0.5000 0.7695 0.9309
0.5000 0.0000 0.5000
0.5000 0.0691 0.7695
0.5000 0.2695 0.5691
0.5000 0.9309 0.2305
0.5000 0.5000 0.0000
0.5000 0.5691 0.7305
0.5000 0.7305 0.4309
0.5000 0.2305 0.0691
0.0000 0.3782 0.1218
0.0000 0.8782 0.3782
0.0000 0.6218 0.8782
0.0000 0.1218 0.6218
0.0000 0.3213 0.8213
0.0000 0.1787 0.3213
0.0000 0.6787 0.1787
0.0000 0.8213 0.6787
0.0000 0.0000 0.0000
0.0000 0.5000 0.5000
```

Number 4 is which compound?
SrCdB2Rh

Copy entry 7 word for word.
Material: Th4CdB3Rh12
Method: DFT, PBE
State: relaxed

Summary:
Energy of formation from the pure elements: -0.670 eV/atom
Symmetry: Im-3m (229)

```
Th4CdB3Rh12
1.0
-4.5985 -4.9839 3.4865
6.8424 -3.1847 -1.0865
0.7541 6.2264 4.3364
Cd Th Rh B
1 4 12 3
Direct
0.0000 0.0000 0.0000
0.0000 0.5000 0.0000
0.5000 0.5000 0.5000
0.0000 0.0000 0.5000
0.5000 0.0000 0.0000
0.5000 0.2500 0.7500
0.0000 0.7188 0.7188
0.7188 0.0000 0.7188
0.5000 0.7500 0.2500
0.7500 0.5000 0.2500
0.2500 0.5000 0.7500
0.2500 0.7500 0.5000
0.2812 0.0000 0.2812
0.7188 0.7188 0.0000
0.7500 0.2500 0.5000
0.0000 0.2812 0.2812
0.2812 0.2812 0.0000
0.5000 0.5000 0.0000
0.5000 0.0000 0.5000
0.0000 0.5000 0.5000
```

Number 8 is which compound?
TlCd2B2Rh5